3
Lattice="-4.9143 0.7797 1.0028 -3.3463 0.3220 -3.8029 -3.3642 -3.7274 -0.7427" Properties=species:S:1:pos:R:3 comment="AcPaGa PBE relaxed" magmom_total_mub_per_fu=0.6 crystal_system=cubic pbc="T T T"
Ac -2.9062 -0.6564 -0.8857
Ga 0.0000 0.0000 0.0000
Pa -8.7186 -1.9693 -2.6571

3
Lattice="-1.7192 -3.7306 2.1616 -4.5021 -1.0516 -0.4120 -1.2998 -3.7146 -2.4611" Properties=species:S:1:pos:R:3 comment="DyReAs PBE relaxed" magmom_total_mub_per_fu=0.9 crystal_system=cubic pbc="T T T"
As -1.8803 -2.1242 -0.1779
Dy 0.0000 0.0000 0.0000
Re -5.6408 -6.3726 -0.5337

4
Lattice="0.0000 3.5662 3.5662 3.5662 0.0000 3.5662 3.5662 3.5662 0.0000" Properties=species:S:1:pos:R:3 comment="SrCuBiPd PBE relaxed" crystal_system=cubic pbc="T T T"
Bi 1.7831 1.7831 1.7831
Cu 5.3493 5.3493 5.3493
Pd 3.5662 3.5662 3.5662
Sr 0.0000 0.0000 0.0000

Summary of energy above the lowest structure with this stoichiometry in eV/atom
0.000, 0.861, 0.151
(order as listed above)